No. 1
{"formula": "HfTa4Nb5", "functional": "PBE-GGA", "state": "relaxed", "lattice_angstrom": [[3.3287, 0.0000, 0.0000], [0.0000, 3.3287, 0.0000], [0.0000, 0.0000, 16.7867]], "species": ["Hf", "Ta", "Ta", "Ta", "Ta", "Nb", "Nb", "Nb", "Nb", "Nb"], "frac_coords": [[0.0000, 0.0000, 0.0000], [0.0000, 0.0000, 0.2042], [0.0000, 0.0000, 0.4023], [0.0000, 0.0000, 0.5977], [0.0000, 0.0000, 0.7958], [0.5000, 0.5000, 0.1096], [0.5000, 0.5000, 0.3029], [0.5000, 0.5000, 0.5000], [0.5000, 0.5000, 0.6971], [0.5000, 0.5000, 0.8904]], "crystal_system": "tetragonal", "delta_e_f_ev_per_atom": 0.010, "space_group": "No. 123", "dos_at_fermi_per_ev_fu": 17.3}

***

No. 2
{"formula": "HfTa2Nb", "functional": "PBE-GGA", "state": "relaxed", "lattice_angstrom": [[-3.7759, 3.7759, 2.8426], [3.7759, -3.7759, 2.8426], [3.7759, 3.7759, -2.8426]], "species": ["Hf", "Hf", "Ta", "Ta", "Ta", "Ta", "Nb", "Nb"], "frac_coords": [[0.0000, 0.0000, 0.0000], [0.7500, 0.2500, 0.5000], [0.1395, 0.6250, 0.0145], [0.3750, 0.3895, 0.5145], [0.6105, 0.1250, 0.9855], [0.8750, 0.8605, 0.4855], [0.2500, 0.7500, 0.5000], [0.5000, 0.5000, 0.0000]], "crystal_system": "tetragonal", "polymorph_energy_ev_per_atom": 0.632, "delta_e_f_ev_per_atom": 0.677, "space_group": "No. 122", "dos_at_fermi_per_ev_fu": 5.0}

***

No. 3
{"formula": "HfTa5Nb6", "functional": "PBE-GGA", "state": "relaxed", "lattice_angstrom": [[7.4047, -3.3394, 0.0000], [7.4047, 3.3394, 0.0000], [-1.4791, 0.0000, 4.4935]], "species": ["Hf", "Ta", "Ta", "Ta", "Ta", "Ta", "Nb", "Nb", "Nb", "Nb", "Nb", "Nb"], "frac_coords": [[0.0000, 0.0000, 0.0000], [0.1650, 0.1650, 0.6656], [0.3323, 0.3323, 0.3328], [0.5000, 0.5000, 0.0000], [0.6677, 0.6677, 0.6672], [0.8350, 0.8350, 0.3344], [0.0841, 0.5753, 0.8296], [0.2607, 0.7393, 0.5000], [0.4247, 0.9159, 0.1704], [0.5753, 0.0841, 0.8296], [0.7393, 0.2607, 0.5000], [0.9159, 0.4247, 0.1704]], "crystal_system": "monoclinic", "delta_e_f_ev_per_atom": 0.009, "space_group": "No. 12", "dos_at_fermi_per_ev_fu": 18.9}

***

No. 4
{"formula": "HfTaNb", "functional": "PBE-GGA", "state": "relaxed", "lattice_angstrom": [[-1.6915, 1.6915, 5.1294], [1.6915, -1.6915, 5.1294], [1.6915, 1.6915, -5.1294]], "species": ["Hf", "Ta", "Nb"], "frac_coords": [[0.0000, 0.0000, 0.0000], [0.6828, 0.6828, 0.0000], [0.3214, 0.3214, 0.0000]], "crystal_system": "tetragonal", "polymorph_energy_ev_per_atom": 0.000, "delta_e_f_ev_per_atom": 0.041, "space_group": "No. 107", "dos_at_fermi_per_ev_fu": 4.2}

***

No. 5
{"formula": "HfTaNb14", "functional": "PBE-GGA", "state": "relaxed", "lattice_angstrom": [[3.3173, -4.7593, 0.0000], [3.3173, 4.7593, 0.0000], [0.0000, 0.0000, 9.3492]], "species": ["Hf", "Ta", "Nb", "Nb", "Nb", "Nb", "Nb", "Nb", "Nb", "Nb", "Nb", "Nb", "Nb", "Nb", "Nb", "Nb"], "frac_coords": [[0.0000, 0.0000, 0.0000], [0.5000, 0.5000, 0.0000], [0.0000, 0.0000, 0.5000], [0.0000, 0.5000, 0.0000], [0.0000, 0.5000, 0.5000], [0.2488, 0.7512, 0.2471], [0.2488, 0.7512, 0.7529], [0.2538, 0.2538, 0.2578], [0.2538, 0.2538, 0.7422], [0.5000, 0.0000, 0.0000], [0.5000, 0.0000, 0.5000], [0.5000, 0.5000, 0.5000], [0.7462, 0.7462, 0.2578], [0.7462, 0.7462, 0.7422], [0.7512, 0.2488, 0.2471], [0.7512, 0.2488, 0.7529]], "crystal_system": "orthorhombic", "delta_e_f_ev_per_atom": 0.002, "space_group": "No. 65", "dos_at_fermi_per_ev_fu": 28.9}

***

No. 6
{"formula": "HfTa2Nb", "functional": "PBE-GGA", "state": "relaxed", "lattice_angstrom": [[-1.6829, 2.4048, 4.7173], [1.6829, -2.4048, 4.7173], [1.6829, 2.4048, -4.7173]], "species": ["Hf", "Ta", "Ta", "Nb"], "frac_coords": [[0.0000, 0.0000, 0.0000], [0.2621, 0.7621, 0.5000], [0.7379, 0.2379, 0.5000], [0.5000, 0.5000, 0.0000]], "crystal_system": "orthorhombic", "polymorph_energy_ev_per_atom": 0.000, "delta_e_f_ev_per_atom": 0.045, "space_group": "No. 71", "dos_at_fermi_per_ev_fu": 5.7}